# 1
Material: Gd2AuN
Method: DFT, GGA-PBE
State: relaxed

## Properties
The calculation puts the energy at -131.9 eV/cell. The formation energy without anion corrections comes out at -404 kJ/mol of formula units. The density of states at the Fermi level comes out at 8.665 states/eV/cell. The total magnetization comes out at 15.09 μB per formula unit.

a b c (Å): 3.6148 3.6148 21.7978
angles (deg): 90.00 90.00 120.00
Closest atoms and distances in Å follow each position.
Space group R-3m (No. 166, hexagonal axes)
Inequivalent atoms, fractional coordinates:
1 Gd 0.0000 0.0000 0.2298  3 N 2.50
2 Au 0.0000 0.0000 0.0000  6 Gd 3.07
3 N 0.0000 0.0000 0.5000  6 Gd 2.50



# 2
Material: Zn2InNi
Method: DFT, GGA-PBE
State: relaxed

## Properties
The calculation puts the energy at -10.9 eV/cell. The density of states at the Fermi level comes out at 1.104 states/eV/cell. The total magnetization comes out at 0.00 μB per formula unit. The energy of formation from the pure elements is 0.168 eV per formula unit.

a b c (Å): 3.0066 4.5254 4.7375
angles (deg): 90.00 90.97 90.00
Closest atoms and distances in Å follow each position.
Space group P2/m (No. 10)
Inequivalent atoms, fractional coordinates:
1 Zn 0.2323 0.0000 0.2222  2 Zn 2.51-2.67, 2 Ni 2.59, 2 In 2.73
2 In 0.5000 0.5000 0.5000  4 Zn 2.73, 4 Ni 2.78-2.83, 2 In 3.01
3 Ni 0.0000 0.5000 0.0000  4 Zn 2.59, 4 In 2.78-2.83



# 3
Material: Sr2PrSnO6
Method: DFT, GGA-PBE
State: relaxed

## Properties
The calculation puts the energy at -259.4 eV/cell. The formation energy without anion corrections comes out at -2215 kJ/mol of formula units. The density of states at the Fermi level comes out at 33.269 states/eV/cell. The total magnetization comes out at 1.02 μB per formula unit.

a b c (Å): 8.7106 8.7106 8.7106
angles (deg): 90.00 90.00 90.00
Closest atoms and distances in Å follow each position.
Space group Fm-3m (No. 225)
Inequivalent atoms, fractional coordinates:
1 Sr 0.2500 0.2500 0.2500  12 O 3.08
2 Pr 0.0000 0.0000 0.0000  6 O 2.30
3 Sn 0.0000 0.0000 0.5000  6 O 2.06
4 O 0.0000 0.0000 0.2641  1 Sn 2.06, 1 Pr 2.30



Q: Which formula does entry 3 have?
A: Sr2PrSnO6